VASP calculation (PBE-GGA) on an optimized crystal structure of ScNbSiS2.

The value obtained for the density of states at the Fermi level is 7.6 states/eV/cell. Its electronic total energy is -28.838 eV per cell. The value obtained for the formation energy without anion corrections is 0.25 eV per atom. As for the space group: P4/mmm. For the theoretical density, the calculation gives 3.1 g/cm³. Its size of the total moment is 0.000 μB/atom.

a b c (Å): 4.658 5.668 4.658
angles (deg): 90.00 90.00 90.00
Atoms (fractional coordinates):
Si: 0.500 0.500 0.500
S: 0.500 0.000 0.000
Nb: 0.000 0.000 0.000
S: 0.000 0.000 0.500
Sc: 0.000 0.500 0.000